# 1
Material: Er6AlFe2
Method: DFT, PBE
State: optimized geometry

Lattice parameters (Å, degrees): 9.322 9.414 9.862 90.00 90.00 90.00
Space group Immm (No. 71)
One atom of each set of equivalent atoms:
Er (0.000, 0.208, 0.232) [8 per cell]
Er (0.204, 0.500, 0.186) [8 per cell]
Er (0.215, 0.313, 0.500) [8 per cell]
Al (0.000, 0.000, 0.000) [2 per cell]
Al (0.000, 0.000, 0.500) [2 per cell]
Fe (0.000, 0.382, 0.000) [4 per cell]
Fe (0.000, 0.500, 0.390) [4 per cell]

- energy relative to the elements (eV per atom) = -0.15
- D(E_F) (states/eV/cell) = 36.3

***

# 2
Material: Er3Al4Fe2
Method: DFT, PBE
State: optimized geometry

Lattice parameters (Å, degrees): 5.328 5.347 13.294 89.25 88.55 60.91
Space group P-1 (No. 2)
One atom of each set of equivalent atoms:
Er (0.020, 0.493, 0.120) [2 per cell]
Er (0.330, 0.833, 0.543) [2 per cell]
Er (0.331, 0.835, 0.795) [2 per cell]
Al (0.000, 0.000, 0.000) [1 per cell]
Al (0.000, 0.500, 0.500) [1 per cell]
Al (0.173, 0.161, 0.331) [2 per cell]
Al (0.328, 0.336, 0.669) [2 per cell]
Al (0.350, 0.815, 0.160) [2 per cell]
Fe (0.172, 0.663, 0.332) [2 per cell]
Fe (0.500, 0.000, 0.000) [1 per cell]
Fe (0.500, 0.500, 0.000) [1 per cell]

- energy relative to the elements (eV per atom) = -0.38
- D(E_F) (states/eV/cell) = 14.0

***

# 3
Material: ErAl2Fe9
Method: DFT, PBE
State: optimized geometry

Lattice parameters (Å, degrees): 4.8795 4.8795 23.1327 90.00 90.00 120.00
Space group R-3m (No. 166, hexagonal axes)
One atom of each set of equivalent atoms:
Er (0.0000, 0.0000, 0.0000) [3 per cell]
Al (0.0000, 0.0000, 0.1429) [6 per cell]
Fe (0.0000, 0.0000, 0.3344) [6 per cell]
Fe (0.0000, 0.0000, 0.5000) [3 per cell]
Fe (0.0071, 0.5035, 0.9126) [18 per cell]

- distance to the lowest polymorph of the same formula (eV per atom) = 0.064
- energy relative to the elements (eV per atom) = -0.10
- D(E_F) (states/eV/cell) = 34.9

***

# 4
Material: ErAl2Fe9
Method: DFT, PBE
State: optimized geometry

Lattice parameters (Å, degrees): 8.039 8.039 4.619 90.00 90.00 90.00
Space group P4/mbm (No. 127)
One atom of each set of equivalent atoms:
Er (0.000, 0.000, 0.000) [2 per cell]
Al (0.121, 0.379, 0.000) [4 per cell]
Fe (0.000, 0.500, 0.500) [2 per cell]
Fe (0.067, 0.210, 0.500) [8 per cell]
Fe (0.176, 0.676, 0.231) [8 per cell]

- distance to the lowest polymorph of the same formula (eV per atom) = 0.000
- energy relative to the elements (eV per atom) = -0.16
- D(E_F) (states/eV/cell) = 27.1

***

Copy entry 1 word for word.
Material: Er6AlFe2
Method: DFT, PBE
State: optimized geometry

Lattice parameters (Å, degrees): 9.322 9.414 9.862 90.00 90.00 90.00
Space group Immm (No. 71)
One atom of each set of equivalent atoms:
Er (0.000, 0.208, 0.232) [8 per cell]
Er (0.204, 0.500, 0.186) [8 per cell]
Er (0.215, 0.313, 0.500) [8 per cell]
Al (0.000, 0.000, 0.000) [2 per cell]
Al (0.000, 0.000, 0.500) [2 per cell]
Fe (0.000, 0.382, 0.000) [4 per cell]
Fe (0.000, 0.500, 0.390) [4 per cell]

- energy relative to the elements (eV per atom) = -0.15
- D(E_F) (states/eV/cell) = 36.3

***

> What is the D(E_F) in the fourth record?

27.1 states/eV/cell

***

> Which of these has the lowest D(E_F)?

Er3Al4Fe2

***

> What is the energy relative to the elements in the fourth record?

-0.16 eV per atom